Nb2TePb | PBE-GGA | relaxed

Unit cell a=6.923 b=6.923 c=6.923 alpha=90.00 beta=90.00 gamma=90.00
Space group Fm-3m (No. 225)
Unique sites:
Nb (0.250, 0.250, 0.250)
Te (0.000, 0.000, 0.000)
Pb (0.000, 0.000, 0.500)

Computed properties:
* E_form (uncorrected): 0.210 eV per atom
* calculated total energy: -6.54 eV per atom

***

NbTePb2 | PBE-GGA | relaxed

Unit cell a=6.586 b=6.586 c=14.557 alpha=90.00 beta=90.00 gamma=90.00
Space group I-42d (No. 122)
Unique sites:
Nb (0.000, 0.000, 0.000)
Te (0.000, 0.000, 0.500)
Pb (0.210, 0.250, 0.125)

Computed properties:
* E_form (uncorrected): 0.830 eV per atom
* calculated total energy: -4.33 eV per atom

***

Nb2TePb | PBE-GGA | relaxed

Unit cell a=4.330 b=4.330 c=20.174 alpha=90.00 beta=90.00 gamma=90.00
Space group I-42d (No. 122)
Unique sites:
Nb (0.227, 0.250, 0.125)
Te (0.000, 0.000, 0.000)
Pb (0.000, 0.000, 0.500)

Computed properties:
* E_form (uncorrected): 0.546 eV per atom
* calculated total energy: -6.20 eV per atom

***

NbTePb3 | PBE-GGA | relaxed

Unit cell a=5.561 b=5.561 c=5.561 alpha=90.00 beta=90.00 gamma=90.00
Space group Pm-3m (No. 221)
Unique sites:
Nb (0.000, 0.000, 0.000)
Te (0.500, 0.500, 0.500)
Pb (0.000, 0.000, 0.500)

Computed properties:
* E_form (uncorrected): 0.465 eV per atom
* calculated total energy: -4.40 eV per atom

***

Nb4Te8Pb | PBE-GGA | relaxed

Unit cell a=12.760 b=7.378 c=9.623 alpha=90.00 beta=116.10 gamma=90.00
Space group C2/m (No. 12)
Unique sites:
Nb (0.000, 0.000, 0.000)
Nb (0.000, 0.500, 0.000)
Nb (0.250, 0.250, 0.000)
Te (0.012, 0.250, 0.786)
Te (0.238, 0.000, 0.214)
Te (0.238, 0.500, 0.214)
Pb (0.000, 0.000, 0.500)

Computed properties:
* E_form (uncorrected): -0.354 eV per atom
* calculated total energy: -5.67 eV per atom

***

NbVTePb2 | PBE-GGA | relaxed

Unit cell a=5.350 b=5.350 c=4.636 alpha=90.00 beta=90.00 gamma=90.00
Space group P4/mmm (No. 123)
Unique sites:
Nb (0.000, 0.000, 0.000)
V (0.000, 0.000, 0.500)
Te (0.500, 0.500, 0.000)
Pb (0.000, 0.500, 0.500)

Computed properties:
* E_form (uncorrected): 0.626 eV per atom
* calculated total energy: -5.32 eV per atom

***

NbTe2PbW | PBE-GGA | relaxed

Unit cell a=5.470 b=5.470 c=4.946 alpha=90.00 beta=90.00 gamma=90.00
Space group P4/mmm (No. 123)
Unique sites:
Nb (0.000, 0.000, 0.000)
Te (0.000, 0.500, 0.000)
Pb (0.500, 0.500, 0.500)
W (0.000, 0.000, 0.500)

Computed properties:
* E_form (uncorrected): 0.982 eV per atom
* calculated total energy: -5.62 eV per atom

***

YNb2TePb | PBE-GGA | relaxed

Unit cell a=5.081 b=5.081 c=5.862 alpha=90.00 beta=90.00 gamma=90.00
Space group P4/mmm (No. 123)
Unique sites:
Y (0.000, 0.000, 0.000)
Nb (0.000, 0.500, 0.500)
Te (0.500, 0.500, 0.500)
Pb (0.500, 0.500, 0.000)

Computed properties:
* E_form (uncorrected): 0.902 eV per atom
* calculated total energy: -5.79 eV per atom

***

Zr2NbTePb | PBE-GGA | relaxed

Unit cell a=5.303 b=5.303 c=5.059 alpha=90.00 beta=90.00 gamma=90.00
Space group P4/mmm (No. 123)
Unique sites:
Zr (0.000, 0.500, 0.000)
Nb (0.000, 0.000, 0.500)
Te (0.000, 0.000, 0.000)
Pb (0.500, 0.500, 0.500)

Computed properties:
* E_form (uncorrected): 0.731 eV per atom
* calculated total energy: -6.07 eV per atom

***

ZrNb2TePb | PBE-GGA | relaxed

Unit cell a=5.230 b=5.230 c=5.402 alpha=90.00 beta=90.00 gamma=90.00
Space group P4/mmm (No. 123)
Unique sites:
Zr (0.000, 0.000, 0.000)
Nb (0.000, 0.500, 0.500)
Te (0.500, 0.500, 0.000)
Pb (0.000, 0.000, 0.500)

Computed properties:
* E_form (uncorrected): 1.543 eV per atom
* calculated total energy: -5.56 eV per atom

***

Ti3NbPb | PBE-GGA | relaxed

Unit cell a=13.554 b=4.885 c=5.830 alpha=90.00 beta=102.57 gamma=90.00
Space group C2/m (No. 12)
Unique sites:
Ti (0.100, 0.000, 0.428)
Ti (0.181, 0.500, 0.197)
Ti (0.194, 0.500, 0.656)
Nb (0.002, 0.500, 0.732)
Pb (0.120, 0.000, 0.931)

Computed properties:
* calculated total energy: -7.45 eV per atom
* ΔH_f (0 K): 0.226 eV/f.u.

***

TiNb3Pb | PBE-GGA | relaxed

Unit cell a=4.768 b=4.768 c=4.768 alpha=90.00 beta=90.00 gamma=90.00
Space group Pm-3m (No. 221)
Unique sites:
Ti (0.000, 0.000, 0.000)
Nb (0.000, 0.000, 0.500)
Pb (0.500, 0.500, 0.500)

Computed properties:
* calculated total energy: -7.35 eV per atom
* ΔH_f (0 K): 5.060 eV/f.u.

***

Ti2Nb3Pb | PBE-GGA | relaxed

Unit cell a=14.304 b=4.764 c=8.101 alpha=90.00 beta=124.14 gamma=90.00
Space group C2/m (No. 12)
Unique sites:
Ti (0.040, 0.000, 0.355)
Ti (0.204, 0.500, 0.350)
Nb (0.040, 0.500, 0.879)
Nb (0.116, 0.000, 0.110)
Nb (0.208, 0.000, 0.888)
Pb (0.136, 0.500, 0.623)

Computed properties:
* calculated total energy: -8.20 eV per atom
* ΔH_f (0 K): 0.499 eV/f.u.

***

Ti7NbPb3 | PBE-GGA | relaxed

Unit cell a=5.099 b=8.770 c=10.118 alpha=90.00 beta=90.00 gamma=90.00
Space group Immm (No. 71)
Unique sites:
Ti (0.000, 0.000, 0.000)
Ti (0.000, 0.200, 0.500)
Ti (0.000, 0.330, 0.244)
Nb (0.000, 0.500, 0.500)
Pb (0.000, 0.000, 0.272)
Pb (0.000, 0.500, 0.000)

Computed properties:
* calculated total energy: -6.63 eV per atom
* ΔH_f (0 K): 3.569 eV/f.u.

***

Ti4NbPb | PBE-GGA | relaxed

Unit cell a=3.020 b=4.442 c=8.436 alpha=90.00 beta=96.13 gamma=90.00
Space group P2/m (No. 10)
Unique sites:
Ti (0.143, 0.000, 0.191)
Ti (0.255, 0.500, 0.650)
Nb (0.500, 0.000, 0.500)
Pb (0.500, 0.500, 0.000)

Computed properties:
* calculated total energy: -7.51 eV per atom
* ΔH_f (0 K): 0.269 eV/f.u.

***

Ti7Nb2Pb3 | PBE-GGA | relaxed

Unit cell a=4.978 b=3.001 c=15.715 alpha=90.00 beta=92.43 gamma=90.00
Space group P2/m (No. 10)
Unique sites:
Ti (0.000, 0.000, 0.000)
Ti (0.223, 0.500, 0.176)
Ti (0.247, 0.000, 0.856)
Ti (0.255, 0.500, 0.544)
Nb (0.300, 0.500, 0.714)
Pb (0.221, 0.000, 0.369)
Pb (0.500, 0.500, 0.000)

Computed properties:
* calculated total energy: -6.96 eV per atom
* ΔH_f (0 K): 3.041 eV/f.u.

***

TiNb2Pb | PBE-GGA | relaxed

Unit cell a=4.687 b=3.500 c=9.421 alpha=90.00 beta=90.00 gamma=90.00
Space group Pmma (No. 51)
Unique sites:
Ti (0.250, 0.000, 0.124)
Nb (0.250, 0.000, 0.604)
Nb (0.250, 0.500, 0.367)
Pb (0.250, 0.500, 0.859)

Computed properties:
* calculated total energy: -7.94 eV per atom
* ΔH_f (0 K): -0.036 eV/f.u.

***

Ti5Nb2Pb | PBE-GGA | relaxed

Unit cell a=7.167 b=7.167 c=11.545 alpha=90.00 beta=90.00 gamma=90.00
Space group I4/mcm (No. 140)
Unique sites:
Ti (0.000, 0.000, 0.000)
Ti (0.141, 0.359, 0.157)
Nb (0.161, 0.339, 0.500)
Pb (0.000, 0.000, 0.250)

Computed properties:
* calculated total energy: -7.78 eV per atom
* ΔH_f (0 K): 1.081 eV/f.u.

***

Ti2Nb2Pb | PBE-GGA | relaxed

Unit cell a=7.277 b=7.277 c=3.594 alpha=90.00 beta=90.00 gamma=90.00
Space group P4/mbm (No. 127)
Unique sites:
Ti (0.126, 0.374, 0.000)
Nb (0.175, 0.675, 0.500)
Pb (0.000, 0.000, 0.000)

Computed properties:
* calculated total energy: -7.75 eV per atom
* ΔH_f (0 K): 0.903 eV/f.u.

***

Ti5NbPb2 | PBE-GGA | relaxed

Unit cell a=6.276 b=6.276 c=7.563 alpha=90.00 beta=90.00 gamma=90.00
Space group I4/mmm (No. 139)
Unique sites:
Ti (0.000, 0.000, 0.000)
Ti (0.250, 0.250, 0.250)
Nb (0.000, 0.000, 0.500)
Pb (0.000, 0.500, 0.000)

Computed properties:
* calculated total energy: -7.15 eV per atom
* ΔH_f (0 K): -0.216 eV/f.u.

***

Ti6NbPb3 | PBE-GGA | relaxed

Unit cell a=8.093 b=4.877 c=10.328 alpha=90.00 beta=109.47 gamma=90.00
Space group P2_1/m (No. 11)
Unique sites:
Ti (0.041, 0.250, 0.413)
Ti (0.162, 0.750, 0.198)
Ti (0.270, 0.250, 0.015)
Ti (0.334, 0.250, 0.304)
Ti (0.376, 0.750, 0.809)
Ti (0.455, 0.250, 0.624)
Nb (0.445, 0.750, 0.097)
Pb (0.048, 0.750, 0.894)
Pb (0.159, 0.250, 0.715)
Pb (0.278, 0.750, 0.495)

Computed properties:
* calculated total energy: -6.88 eV per atom
* ΔH_f (0 K): -0.275 eV/f.u.

***

Ti2Nb2Pb | PBE-GGA | relaxed

Unit cell a=7.574 b=7.574 c=3.442 alpha=90.00 beta=90.00 gamma=90.00
Space group P4/mbm (No. 127)
Unique sites:
Ti (0.186, 0.314, 0.000)
Nb (0.115, 0.615, 0.500)
Pb (0.000, 0.000, 0.500)

Computed properties:
* calculated total energy: -7.68 eV per atom
* ΔH_f (0 K): 1.257 eV/f.u.

***

Ti4Nb5Pb2 | PBE-GGA | relaxed

Unit cell a=3.001 b=7.258 c=9.826 alpha=93.23 beta=93.85 gamma=100.02
Space group P-1 (No. 2)
Unique sites:
Ti (0.171, 0.171, 0.398)
Ti (0.265, 0.932, 0.877)
Nb (0.000, 0.500, 0.500)
Nb (0.112, 0.319, 0.962)
Nb (0.442, 0.587, 0.774)
Pb (0.374, 0.799, 0.319)

Computed properties:
* calculated total energy: -8.06 eV per atom
* ΔH_f (0 K): 0.732 eV/f.u.

***

Ti4NbPb | PBE-GGA | relaxed

Unit cell a=7.924 b=4.557 c=7.695 alpha=90.00 beta=110.04 gamma=90.00
Space group C2/m (No. 12)
Unique sites:
Ti (0.115, 0.000, 0.342)
Ti (0.134, 0.500, 0.903)
Nb (0.000, 0.000, 0.000)
Pb (0.000, 0.500, 0.500)

Computed properties:
* calculated total energy: -7.05 eV per atom
* ΔH_f (0 K): 3.075 eV/f.u.